Record 1
18
Lattice="-1.651 1.476 -4.339 -3.958 -2.078 -1.935 -8.728 7.871 3.265" Properties=species:S:1:pos:R:3 comment="Tb2Co7 PBEsol relaxed" sg="R-3m, No. 166" crystal_system=trigonal e_tot_ev_per_cell=-130.82 pbc="T T T"
Tb -6.670 0.646 -5.446
Tb -7.667 6.623 2.436
Tb -8.658 2.985 -3.893
Tb -5.679 4.283 0.884
Co -7.169 3.634 -1.505
Co -11.341 6.144 -1.797
Co -2.996 1.124 -1.212
Co -4.870 0.929 -3.300
Co -9.467 6.340 0.290
Co -1.979 -1.039 -0.968
Co -0.826 0.738 -2.169
Co -2.805 -0.301 -3.137
Co -5.046 2.336 -1.389
Co -5.871 3.073 -3.555
Co -7.023 1.298 -2.355
Co -9.291 4.933 -1.621
Co -8.466 4.196 0.546
Co -7.314 5.971 -0.655

Record 2
3
Lattice="3.041 0.000 0.000 0.000 3.041 0.000 -1.520 -1.520 6.208" Properties=species:S:1:pos:R:3 comment="ZnCdHg PBEsol relaxed" sg="I4mm, No. 107" crystal_system=tetragonal e_above_lowest_polymorph_mev_per_atom=22 pbc="T T T"
Zn 0.000 0.000 4.151
Hg 1.520 1.520 2.191
Cd 1.520 1.520 6.073

Record 3
4
Lattice="-1.180 -1.520 2.418 4.099 -1.362 1.144 -0.344 9.449 3.796" Properties=species:S:1:pos:R:3 comment="K2TlOs PBEsol relaxed" sg="C2/m, No. 12" crystal_system=monoclinic e_above_lowest_polymorph_mev_per_atom=0 pbc="T T T"
K 1.785 0.904 3.413
K 0.790 5.664 3.945
Os 2.049 -0.681 0.572
Tl -0.590 -0.760 1.209

Record 4
8
Lattice="4.926 0.000 0.000 0.000 6.251 0.000 0.000 -3.125 5.413" Properties=species:S:1:pos:R:3 comment="Sc3Ag PBEsol relaxed" sg="P6_3/mmc, No. 194" crystal_system=hexagonal e_above_lowest_polymorph_mev_per_atom=71 pbc="T T T"
Ag 3.695 3.125 1.804
Ag 1.232 0.000 3.609
Sc 3.695 0.000 1.865
Sc 1.232 3.125 3.548
Sc 3.695 -1.510 4.481
Sc 1.232 4.636 0.933
Sc 3.695 1.510 4.481
Sc 1.232 1.615 0.933

Record 5
5
Lattice="-2.935 0.621 -3.029 2.921 -0.813 -2.996 -1.027 -4.191 0.136" Properties=species:S:1:pos:R:3 comment="ScTlO2F PBEsol relaxed" sg="P4/mmm, No. 123" crystal_system=tetragonal raw_formation_energy_ev_per_atom=-0.987 pbc="T T T"
Sc -0.520 -2.192 -2.945
Tl 0.000 0.000 0.000
O 1.461 -0.406 -1.498
O -1.467 0.310 -1.515
F -0.513 -2.096 0.068

Record 6
5
Lattice="3.746 0.000 0.000 0.000 3.746 0.000 -1.873 -1.873 9.550" Properties=species:S:1:pos:R:3 comment="NaZn2I2 PBEsol relaxed" sg="I4/mmm, No. 139" crystal_system=tetragonal raw_formation_energy_ev_per_atom=-0.272 pbc="T T T"
I 0.000 0.000 7.582
I 1.873 1.873 1.968
Na 0.000 0.000 0.000
Zn 0.000 1.873 4.775
Zn 1.873 0.000 4.775

Record 7
4
Lattice="-4.425 -0.431 -0.982 -2.531 -3.082 2.198 -3.141 1.358 3.003" Properties=species:S:1:pos:R:3 comment="BeTe2C PBEsol relaxed" sg="Fm-3m, No. 225" crystal_system=cubic raw_formation_energy_ev_per_atom=1.558 pbc="T T T"
Be 0.000 0.000 0.000
C -5.048 -1.077 2.109
Te -2.524 -0.539 1.055
Te -7.573 -1.616 3.164

Record 8
4
Lattice="4.549 0.000 0.000 0.000 4.549 0.000 -2.274 -2.274 4.112" Properties=species:S:1:pos:R:3 comment="TlReSb2 PBEsol relaxed" sg="I-4m2, No. 119" crystal_system=tetragonal raw_formation_energy_ev_per_atom=0.961 e_above_lowest_polymorph_mev_per_atom=618 pbc="T T T"
Re 0.000 2.274 2.056
Sb 0.000 0.000 0.000
Sb 2.274 0.000 2.056
Tl 2.274 2.274 0.000

The records above yield DOS at the Fermi energy values of 27.73, 0.98, 2.01, 9.10, 3.27, 3.17, 1.09, 3.47 states/eV/cell, respectively.